# PBE NdHoTm2As4, optimized geometry
data_NdHoTm2As4
_symmetry_space_group_name_H-M 'P 1'
_symmetry_Int_Tables_number 1
_cell_length_a 7.144
_cell_length_b 4.129
_cell_length_c 7.147
_cell_angle_alpha 90.00
_cell_angle_beta 109.48
_cell_angle_gamma 90.00
loop_
_symmetry_equiv_pos_as_xyz
'x,y,z'
loop_
_atom_site_label
_atom_site_type_symbol
_atom_site_fract_x
_atom_site_fract_y
_atom_site_fract_z
Nd1 Nd 0.000 0.000 0.000
Ho1 Ho 0.000 0.500 0.500
Tm1 Tm 0.500 0.000 0.500
Tm2 Tm 0.500 0.500 0.000
As1 As 0.256 0.000 0.747
As2 As 0.260 0.500 0.258
As3 As 0.740 0.500 0.742
As4 As 0.744 0.000 0.253
# space-group type = P2/m
# formation energy from the elements = -1502 meV per atom
# D(E_F) = 0.119 states/eV per atom

# PBE Nd3HoTm2As6, optimized geometry
data_Nd3HoTm2As6
_symmetry_space_group_name_H-M 'P 1'
_symmetry_Int_Tables_number 1
_cell_length_a 7.235
_cell_length_b 7.235
_cell_length_c 7.225
_cell_angle_alpha 99.60
_cell_angle_beta 99.60
_cell_angle_gamma 119.99
loop_
_symmetry_equiv_pos_as_xyz
'x,y,z'
loop_
_atom_site_label
_atom_site_type_symbol
_atom_site_fract_x
_atom_site_fract_y
_atom_site_fract_z
Nd1 Nd 0.000 0.000 0.000
Nd2 Nd 0.334 0.666 0.000
Nd3 Nd 0.666 0.334 0.000
Ho1 Ho 0.500 0.500 0.500
Tm1 Tm 0.167 0.833 0.500
Tm2 Tm 0.833 0.167 0.500
As1 As 0.086 0.421 0.262
As2 As 0.245 0.245 0.738
As3 As 0.421 0.086 0.262
As4 As 0.579 0.914 0.738
As5 As 0.755 0.755 0.262
As6 As 0.914 0.579 0.738
# space-group type = C2/m
# formation energy from the elements = -1503 meV per atom
# D(E_F) = 0.154 states/eV per atom

# PBE NdHo2TmAs4, optimized geometry
data_NdHo2TmAs4
_symmetry_space_group_name_H-M 'P 1'
_symmetry_Int_Tables_number 1
_cell_length_a 7.161
_cell_length_b 4.138
_cell_length_c 7.164
_cell_angle_alpha 90.00
_cell_angle_beta 109.47
_cell_angle_gamma 90.00
loop_
_symmetry_equiv_pos_as_xyz
'x,y,z'
loop_
_atom_site_label
_atom_site_type_symbol
_atom_site_fract_x
_atom_site_fract_y
_atom_site_fract_z
Nd1 Nd 0.000 0.000 0.000
Ho1 Ho 0.000 0.500 0.500
Ho2 Ho 0.500 0.000 0.500
Tm1 Tm 0.500 0.500 0.000
As1 As 0.255 0.000 0.748
As2 As 0.258 0.500 0.256
As3 As 0.742 0.500 0.744
As4 As 0.745 0.000 0.252
# space-group type = P2/m
# formation energy from the elements = -1507 meV per atom
# D(E_F) = 0.111 states/eV per atom

# PBE Nd2HoTm3As6, optimized geometry
data_Nd2HoTm3As6
_symmetry_space_group_name_H-M 'P 1'
_symmetry_Int_Tables_number 1
_cell_length_a 9.255
_cell_length_b 9.255
_cell_length_c 8.278
_cell_angle_alpha 102.86
_cell_angle_beta 102.86
_cell_angle_gamma 25.87
loop_
_symmetry_equiv_pos_as_xyz
'x,y,z'
loop_
_atom_site_label
_atom_site_type_symbol
_atom_site_fract_x
_atom_site_fract_y
_atom_site_fract_z
Nd1 Nd 0.166 0.166 0.332
Nd2 Nd 0.834 0.834 0.668
Ho1 Ho 0.500 0.500 0.000
Tm1 Tm 0.167 0.167 0.834
Tm2 Tm 0.500 0.500 0.500
Tm3 Tm 0.833 0.833 0.166
As1 As 0.003 0.003 0.750
As2 As 0.333 0.333 0.926
As3 As 0.336 0.336 0.409
As4 As 0.664 0.664 0.591
As5 As 0.667 0.667 0.074
As6 As 0.997 0.997 0.250
# space-group type = C2/m
# formation energy from the elements = -1500 meV per atom
# D(E_F) = 0.150 states/eV per atom

# PBE Nd2HoUAs4, optimized geometry
data_Nd2HoUAs4
_symmetry_space_group_name_H-M 'P 1'
_symmetry_Int_Tables_number 1
_cell_length_a 7.231
_cell_length_b 4.163
_cell_length_c 7.245
_cell_angle_alpha 90.00
_cell_angle_beta 109.15
_cell_angle_gamma 90.00
loop_
_symmetry_equiv_pos_as_xyz
'x,y,z'
loop_
_atom_site_label
_atom_site_type_symbol
_atom_site_fract_x
_atom_site_fract_y
_atom_site_fract_z
Nd1 Nd 0.000 0.000 0.000
Nd2 Nd 0.500 0.500 0.000
Ho1 Ho 0.000 0.500 0.500
U1 U 0.500 0.000 0.500
As1 As 0.249 0.000 0.736
As2 As 0.256 0.500 0.264
As3 As 0.744 0.500 0.736
As4 As 0.751 0.000 0.264
# space-group type = P2/m
# formation energy from the elements = -1316 meV per atom
# D(E_F) = 1.048 states/eV per atom

# PBE NdHoU2As4, optimized geometry
data_NdHoU2As4
_symmetry_space_group_name_H-M 'P 1'
_symmetry_Int_Tables_number 1
_cell_length_a 7.104
_cell_length_b 4.099
_cell_length_c 7.259
_cell_angle_alpha 90.00
_cell_angle_beta 109.02
_cell_angle_gamma 90.00
loop_
_symmetry_equiv_pos_as_xyz
'x,y,z'
loop_
_atom_site_label
_atom_site_type_symbol
_atom_site_fract_x
_atom_site_fract_y
_atom_site_fract_z
Nd1 Nd 0.000 0.000 0.000
Ho1 Ho 0.500 0.500 0.000
U1 U 0.000 0.500 0.500
U2 U 0.500 0.000 0.500
As1 As 0.254 0.000 0.745
As2 As 0.258 0.500 0.259
As3 As 0.742 0.500 0.741
As4 As 0.746 0.000 0.255
# space-group type = P2/m
# formation energy from the elements = -1122 meV per atom
# D(E_F) = 1.003 states/eV per atom

# PBE Nd2YHoAs4, optimized geometry
data_Nd2YHoAs4
_symmetry_space_group_name_H-M 'P 1'
_symmetry_Int_Tables_number 1
_cell_length_a 7.257
_cell_length_b 4.196
_cell_length_c 7.265
_cell_angle_alpha 90.00
_cell_angle_beta 109.49
_cell_angle_gamma 90.00
loop_
_symmetry_equiv_pos_as_xyz
'x,y,z'
loop_
_atom_site_label
_atom_site_type_symbol
_atom_site_fract_x
_atom_site_fract_y
_atom_site_fract_z
Nd1 Nd 0.000 0.000 0.000
Nd2 Nd 0.000 0.500 0.500
Y1 Y 0.500 0.000 0.500
Ho1 Ho 0.500 0.500 0.000
As1 As 0.259 0.500 0.252
As2 As 0.260 0.000 0.754
As3 As 0.740 0.000 0.246
As4 As 0.741 0.500 0.748
# space-group type = P2/m
# formation energy from the elements = -1522 meV per atom
# D(E_F) = 0.108 states/eV per atom

# PBE Nd2YHo3As6, optimized geometry
data_Nd2YHo3As6
_symmetry_space_group_name_H-M 'P 1'
_symmetry_Int_Tables_number 1
_cell_length_a 9.306
_cell_length_b 9.306
_cell_length_c 8.323
_cell_angle_alpha 102.89
_cell_angle_beta 102.89
_cell_angle_gamma 25.86
loop_
_symmetry_equiv_pos_as_xyz
'x,y,z'
loop_
_atom_site_label
_atom_site_type_symbol
_atom_site_fract_x
_atom_site_fract_y
_atom_site_fract_z
Nd1 Nd 0.166 0.166 0.332
Nd2 Nd 0.834 0.834 0.668
Y1 Y 0.500 0.500 0.000
Ho1 Ho 0.167 0.167 0.834
Ho2 Ho 0.500 0.500 0.500
Ho3 Ho 0.833 0.833 0.166
As1 As 0.003 0.003 0.750
As2 As 0.333 0.333 0.924
As3 As 0.336 0.336 0.411
As4 As 0.664 0.664 0.589
As5 As 0.667 0.667 0.076
As6 As 0.997 0.997 0.250
# space-group type = C2/m
# formation energy from the elements = -1520 meV per atom
# D(E_F) = 0.149 states/eV per atom

# PBE NdY2Ho3As6, optimized geometry
data_NdY2Ho3As6
_symmetry_space_group_name_H-M 'P 1'
_symmetry_Int_Tables_number 1
_cell_length_a 9.251
_cell_length_b 9.251
_cell_length_c 8.274
_cell_angle_alpha 102.92
_cell_angle_beta 102.92
_cell_angle_gamma 25.85
loop_
_symmetry_equiv_pos_as_xyz
'x,y,z'
loop_
_atom_site_label
_atom_site_type_symbol
_atom_site_fract_x
_atom_site_fract_y
_atom_site_fract_z
Nd1 Nd 0.000 0.000 0.000
Y1 Y 0.333 0.333 0.666
Y2 Y 0.667 0.667 0.334
Ho1 Ho 0.000 0.000 0.500
Ho2 Ho 0.334 0.334 0.168
Ho3 Ho 0.666 0.666 0.832
As1 As 0.166 0.166 0.584
As2 As 0.169 0.169 0.083
As3 As 0.500 0.500 0.257
As4 As 0.500 0.500 0.743
As5 As 0.831 0.831 0.917
As6 As 0.834 0.834 0.416
# space-group type = C2/m
# formation energy from the elements = -1530 meV per atom
# D(E_F) = 0.156 states/eV per atom

# PBE NdYHo2As4, optimized geometry
data_NdYHo2As4
_symmetry_space_group_name_H-M 'P 1'
_symmetry_Int_Tables_number 1
_cell_length_a 7.187
_cell_length_b 4.153
_cell_length_c 7.187
_cell_angle_alpha 90.00
_cell_angle_beta 109.47
_cell_angle_gamma 90.00
loop_
_symmetry_equiv_pos_as_xyz
'x,y,z'
loop_
_atom_site_label
_atom_site_type_symbol
_atom_site_fract_x
_atom_site_fract_y
_atom_site_fract_z
Nd1 Nd 0.000 0.000 0.000
Y1 Y 0.500 0.500 0.000
Ho1 Ho 0.000 0.500 0.500
Ho2 Ho 0.500 0.000 0.500
As1 As 0.252 0.000 0.745
As2 As 0.257 0.500 0.258
As3 As 0.743 0.500 0.742
As4 As 0.748 0.000 0.255
# space-group type = P2/m
# formation energy from the elements = -1525 meV per atom
# D(E_F) = 0.111 states/eV per atom

# PBE NdY3Ho2As6, optimized geometry
data_NdY3Ho2As6
_symmetry_space_group_name_H-M 'P 1'
_symmetry_Int_Tables_number 1
_cell_length_a 7.174
_cell_length_b 7.174
_cell_length_c 7.174
_cell_angle_alpha 99.59
_cell_angle_beta 99.59
_cell_angle_gamma 119.99
loop_
_symmetry_equiv_pos_as_xyz
'x,y,z'
loop_
_atom_site_label
_atom_site_type_symbol
_atom_site_fract_x
_atom_site_fract_y
_atom_site_fract_z
Nd1 Nd 0.000 0.000 0.000
Y1 Y 0.165 0.835 0.500
Y2 Y 0.500 0.500 0.500
Y3 Y 0.835 0.165 0.500
Ho1 Ho 0.333 0.667 0.000
Ho2 Ho 0.667 0.333 0.000
As1 As 0.084 0.423 0.252
As2 As 0.255 0.255 0.749
As3 As 0.423 0.084 0.252
As4 As 0.577 0.916 0.748
As5 As 0.745 0.745 0.251
As6 As 0.916 0.577 0.748
# space-group type = C2/m
# formation energy from the elements = -1534 meV per atom
# D(E_F) = 0.154 states/eV per atom

# PBE Nd2Y3HoAs6, optimized geometry
data_Nd2Y3HoAs6
_symmetry_space_group_name_H-M 'P 1'
_symmetry_Int_Tables_number 1
_cell_length_a 9.324
_cell_length_b 9.324
_cell_length_c 8.339
_cell_angle_alpha 102.90
_cell_angle_beta 102.90
_cell_angle_gamma 25.86
loop_
_symmetry_equiv_pos_as_xyz
'x,y,z'
loop_
_atom_site_label
_atom_site_type_symbol
_atom_site_fract_x
_atom_site_fract_y
_atom_site_fract_z
Nd1 Nd 0.166 0.166 0.332
Nd2 Nd 0.834 0.834 0.668
Y1 Y 0.167 0.167 0.834
Y2 Y 0.500 0.500 0.500
Y3 Y 0.833 0.833 0.166
Ho1 Ho 0.500 0.500 0.000
As1 As 0.002 0.002 0.753
As2 As 0.334 0.334 0.923
As3 As 0.335 0.335 0.412
As4 As 0.665 0.665 0.588
As5 As 0.666 0.666 0.077
As6 As 0.998 0.998 0.247
# space-group type = C2/m
# formation energy from the elements = -1530 meV per atom
# D(E_F) = 0.150 states/eV per atom

# PBE HoNiAs3, optimized geometry
data_HoNiAs3
_symmetry_space_group_name_H-M 'P 1'
_symmetry_Int_Tables_number 1
_cell_length_a 11.816
_cell_length_b 5.603
_cell_length_c 5.560
_cell_angle_alpha 90.00
_cell_angle_beta 90.00
_cell_angle_gamma 90.00
loop_
_symmetry_equiv_pos_as_xyz
'x,y,z'
loop_
_atom_site_label
_atom_site_type_symbol
_atom_site_fract_x
_atom_site_fract_y
_atom_site_fract_z
Ho1 Ho 0.191 0.001 0.250
Ho2 Ho 0.191 0.499 0.750
Ho3 Ho 0.809 0.501 0.250
Ho4 Ho 0.809 0.999 0.750
Ni1 Ni 0.408 0.750 0.000
Ni2 Ni 0.408 0.750 0.500
Ni3 Ni 0.592 0.250 0.000
Ni4 Ni 0.592 0.250 0.500
As1 As 0.002 0.750 0.000
As2 As 0.002 0.750 0.500
As3 As 0.279 0.007 0.750
As4 As 0.279 0.493 0.250
As5 As 0.440 0.115 0.250
As6 As 0.440 0.385 0.750
As7 As 0.560 0.615 0.250
As8 As 0.560 0.885 0.750
As9 As 0.721 0.507 0.750
As10 As 0.721 0.993 0.250
As11 As 0.998 0.250 0.000
As12 As 0.998 0.250 0.500
# space-group type = Pbcm
# formation energy from the elements = -667 meV per atom
# D(E_F) = 0.399 states/eV per atom

# PBE Ho3Ni4As4, optimized geometry
data_Ho3Ni4As4
_symmetry_space_group_name_H-M 'P 1'
_symmetry_Int_Tables_number 1
_cell_length_a 3.924
_cell_length_b 4.041
_cell_length_c 12.254
_cell_angle_alpha 99.44
_cell_angle_beta 99.15
_cell_angle_gamma 90.01
loop_
_symmetry_equiv_pos_as_xyz
'x,y,z'
loop_
_atom_site_label
_atom_site_type_symbol
_atom_site_fract_x
_atom_site_fract_y
_atom_site_fract_z
Ho1 Ho 0.000 0.000 0.000
Ho2 Ho 0.152 0.652 0.303
Ho3 Ho 0.848 0.348 0.697
Ni1 Ni 0.251 0.251 0.503
Ni2 Ni 0.404 0.905 0.808
Ni3 Ni 0.596 0.095 0.192
Ni4 Ni 0.749 0.749 0.497
As1 As 0.307 0.806 0.613
As2 As 0.444 0.446 0.891
As3 As 0.556 0.554 0.109
As4 As 0.693 0.194 0.387
# space-group type = P-1
# formation energy from the elements = -930 meV per atom
# D(E_F) = 0.523 states/eV per atom

# PBE HoNi4As2, optimized geometry
data_HoNi4As2
_symmetry_space_group_name_H-M 'P 1'
_symmetry_Int_Tables_number 1
_cell_length_a 7.234
_cell_length_b 7.234
_cell_length_c 3.780
_cell_angle_alpha 90.00
_cell_angle_beta 90.00
_cell_angle_gamma 90.00
loop_
_symmetry_equiv_pos_as_xyz
'x,y,z'
loop_
_atom_site_label
_atom_site_type_symbol
_atom_site_fract_x
_atom_site_fract_y
_atom_site_fract_z
Ho1 Ho 0.000 0.000 0.000
Ho2 Ho 0.500 0.500 0.500
Ni1 Ni 0.089 0.346 0.500
Ni2 Ni 0.154 0.589 0.000
Ni3 Ni 0.346 0.089 0.500
Ni4 Ni 0.411 0.846 0.000
Ni5 Ni 0.589 0.154 0.000
Ni6 Ni 0.654 0.911 0.500
Ni7 Ni 0.846 0.411 0.000
Ni8 Ni 0.911 0.654 0.500
As1 As 0.218 0.782 0.500
As2 As 0.282 0.282 0.000
As3 As 0.718 0.718 0.000
As4 As 0.782 0.218 0.500
# space-group type = P4_2/mnm
# formation energy from the elements = -633 meV per atom
# D(E_F) = 0.501 states/eV per atom

# PBE HoNi5As2, optimized geometry
data_HoNi5As2
_symmetry_space_group_name_H-M 'P 1'
_symmetry_Int_Tables_number 1
_cell_length_a 5.933
_cell_length_b 5.933
_cell_length_c 5.933
_cell_angle_alpha 143.18
_cell_angle_beta 112.05
_cell_angle_gamma 79.87
loop_
_symmetry_equiv_pos_as_xyz
'x,y,z'
loop_
_atom_site_label
_atom_site_type_symbol
_atom_site_fract_x
_atom_site_fract_y
_atom_site_fract_z
Ho1 Ho 0.000 0.000 0.000
Ni1 Ni 0.171 0.359 0.812
Ni2 Ni 0.454 0.641 0.812
Ni3 Ni 0.500 0.000 0.500
Ni4 Ni 0.546 0.359 0.188
Ni5 Ni 0.829 0.641 0.188
As1 As 0.249 0.749 0.500
As2 As 0.751 0.251 0.500
# space-group type = Immm
# formation energy from the elements = -496 meV per atom
# D(E_F) = 0.969 states/eV per atom

Number 1: VASP energy -6.113 eV per atom. Number 2: VASP energy -6.146 eV per atom. Number 3: VASP energy -6.131 eV per atom. Number 4: VASP energy -6.118 eV per atom. Number 5: VASP energy -6.816 eV per atom. Number 6: VASP energy -7.437 eV per atom. Number 7: VASP energy -6.419 eV per atom. Number 8: VASP energy -6.322 eV per atom. Number 9: VASP energy -6.473 eV per atom. Number 10: VASP energy -6.398 eV per atom. Number 11: VASP energy -6.635 eV per atom. Number 12: VASP energy -6.647 eV per atom. Number 13: VASP energy -5.528 eV per atom. Number 14: VASP energy -5.971 eV per atom. Number 15: VASP energy -5.919 eV per atom. Number 16: VASP energy -5.844 eV per atom.